DFT (PBE-GGA) results for Ac4SiCI2 after structural relaxation.

Values from the calculation:
M_tot: 0.00 μB/cell
Volume: 273 Å³/cell
Raw total energy: -4.986 eV/atom

a = 7.5496 Å, b = 4.3308 Å, c = 8.7150 Å
α = 90.00°, β = 106.75°, γ = 90.00°
With the nearest neighbours (Å) after each atom.
Positions (direct):
1 Ac 0.2062 0.0000 0.1805  2 C 2.86, 1 Si 3.07
2 Ac 0.2427 0.5000 0.8111  1 C 2.79, 2 Si 3.05
3 Ac 0.7573 0.5000 0.1889  1 C 2.79, 2 Si 3.05
4 Ac 0.7938 0.0000 0.8195  2 C 2.86, 1 Si 3.07
5 Si 0.5000 0.0000 0.0000  6 Ac 3.05-3.07
6 C 0.0000 0.5000 0.0000  6 Ac 2.79-2.86
7 I 0.0000 0.0000 0.5000  6 Ac 3.54-3.56
8 I 0.5000 0.5000 0.5000  6 Ac 3.72-3.76

---

DFT (PBE-GGA) results for CaOsIN2 after structural relaxation.

Values from the calculation:
Relative energy among the computed polymorphs: 0.000 eV/atom
M_tot: 0.00 μB/cell
Volume: 91 Å³/cell

a = 3.9913 Å, b = 3.9913 Å, c = 5.7379 Å
α = 90.00°, β = 90.00°, γ = 90.00°
With the nearest neighbours (Å) after each atom.
Positions (direct):
1 Ca 0.0000 0.0000 0.0000  4 I 2.82
2 Os 0.5000 0.5000 0.5000  4 N 2.00
3 I 0.5000 0.5000 0.0000  4 Ca 2.82, 2 Os 2.87
4 N 0.0000 0.5000 0.5000  2 Os 2.00
5 N 0.5000 0.0000 0.5000  2 Os 2.00